(1)
First-principles (GGA-PBE) data for an optimized crystal structure of Y3AlTl2, as listed in the Alexandria database.

Properties
Total moment   0.00 μB/cell
Total DFT energy (no corrections)   -30.171 eV per cell
Mass density   7.43 Mg/m³
Energy above the lowest structure with this stoichiometry   0 meV per atom

Geometry as CIF:
```
data_Y3AlTl2
_chemical_formula_sum 'Y3 Al1 Tl2'
_cell_length_a 3.6845
_cell_length_b 3.6845
_cell_length_c 11.5636
_cell_angle_alpha 90.00
_cell_angle_beta 90.00
_cell_angle_gamma 90.00
_symmetry_space_group_name_H-M 'P 1'
_symmetry_Int_Tables_number 1
_symmetry_space_group_name_Hall 'P 1'
loop_
_atom_site_label
_atom_site_type_symbol
_atom_site_fract_x
_atom_site_fract_y
_atom_site_fract_z
Y1 Y 0.0000 0.0000 0.0000
Y2 Y 0.0000 0.0000 0.3457
Y3 Y 0.0000 0.0000 0.6543
Al1 Al 0.5000 0.5000 0.5000
Tl1 Tl 0.5000 0.5000 0.1714
Tl2 Tl 0.5000 0.5000 0.8286
```



(2)
First-principles (GGA-PBE) data for an optimized crystal structure of Y2Al2Tl, as listed in the Alexandria database.

Properties
Total moment   0.00 μB/cell
Total DFT energy (no corrections)   -49.539 eV per cell
Mass density   6.00 Mg/m³
Energy above the lowest structure with this stoichiometry   0 meV per atom

Geometry as CIF:
```
data_Y2Al2Tl
_chemical_formula_sum 'Y4 Al4 Tl2'
_cell_length_a 7.2804
_cell_length_b 7.2804
_cell_length_c 4.5570
_cell_angle_alpha 90.00
_cell_angle_beta 90.00
_cell_angle_gamma 90.00
_symmetry_space_group_name_H-M 'P 1'
_symmetry_Int_Tables_number 1
_symmetry_space_group_name_Hall 'P 1'
loop_
_atom_site_label
_atom_site_type_symbol
_atom_site_fract_x
_atom_site_fract_y
_atom_site_fract_z
Y1 Y 0.1693 0.3307 0.0000
Y2 Y 0.3307 0.8307 0.0000
Y3 Y 0.6693 0.1693 0.0000
Y4 Y 0.8307 0.6693 0.0000
Al1 Al 0.1271 0.6271 0.5000
Al2 Al 0.3729 0.1271 0.5000
Al3 Al 0.6271 0.8729 0.5000
Al4 Al 0.8729 0.3729 0.5000
Tl1 Tl 0.0000 0.0000 0.5000
Tl2 Tl 0.5000 0.5000 0.5000
```



(3)
First-principles (GGA-PBE) data for an optimized crystal structure of Y3AlTl2, as listed in the Alexandria database.

Properties
Total moment   0.00 μB/cell
Total DFT energy (no corrections)   -30.094 eV per cell
Mass density   7.41 Mg/m³
Energy above the lowest structure with this stoichiometry   13 meV per atom

Geometry as CIF:
```
data_Y3AlTl2
_chemical_formula_sum 'Y3 Al1 Tl2'
_cell_length_a 8.4231
_cell_length_b 8.4231
_cell_length_c 3.6899
_cell_angle_alpha 90.00
_cell_angle_beta 90.00
_cell_angle_gamma 143.03
_symmetry_space_group_name_H-M 'P 1'
_symmetry_Int_Tables_number 1
_symmetry_space_group_name_Hall 'P 1'
loop_
_atom_site_label
_atom_site_type_symbol
_atom_site_fract_x
_atom_site_fract_y
_atom_site_fract_z
Y1 Y 0.0000 0.0000 0.0000
Y2 Y 0.3406 0.6594 0.0000
Y3 Y 0.6594 0.3406 0.0000
Al1 Al 0.5000 0.5000 0.5000
Tl1 Tl 0.1698 0.8302 0.5000
Tl2 Tl 0.8302 0.1698 0.5000
```



(4)
First-principles (GGA-PBE) data for an optimized crystal structure of YAl2Tl, as listed in the Alexandria database.

Properties
Total moment   0.00 μB/cell
Total DFT energy (no corrections)   -16.779 eV per cell
Mass density   6.25 Mg/m³
Energy above the lowest structure with this stoichiometry   146 meV per atom

Geometry as CIF:
```
data_YAl2Tl
_chemical_formula_sum 'Y1 Al2 Tl1'
_cell_length_a 3.3045
_cell_length_b 4.7784
_cell_length_c 5.8396
_cell_angle_alpha 90.00
_cell_angle_beta 90.00
_cell_angle_gamma 90.00
_symmetry_space_group_name_H-M 'P 1'
_symmetry_Int_Tables_number 1
_symmetry_space_group_name_Hall 'P 1'
loop_
_atom_site_label
_atom_site_type_symbol
_atom_site_fract_x
_atom_site_fract_y
_atom_site_fract_z
Y1 Y 0.0000 0.0000 0.0000
Al1 Al 0.5000 0.0000 0.5326
Al2 Al 0.5000 0.5000 0.7707
Tl1 Tl 0.5000 0.5000 0.2606
```



(5)
First-principles (GGA-PBE) data for an optimized crystal structure of YAlTl4, as listed in the Alexandria database.

Properties
Total moment   0.00 μB/cell
Total DFT energy (no corrections)   -18.315 eV per cell
Mass density   8.98 Mg/m³

Geometry as CIF:
```
data_YAlTl4
_chemical_formula_sum 'Y1 Al1 Tl4'
_cell_length_a 6.2499
_cell_length_b 6.2499
_cell_length_c 6.2499
_cell_angle_alpha 60.00
_cell_angle_beta 60.00
_cell_angle_gamma 60.00
_symmetry_space_group_name_H-M 'P 1'
_symmetry_Int_Tables_number 1
_symmetry_space_group_name_Hall 'P 1'
loop_
_atom_site_label
_atom_site_type_symbol
_atom_site_fract_x
_atom_site_fract_y
_atom_site_fract_z
Y1 Y 0.0000 0.0000 0.0000
Al1 Al 0.7500 0.7500 0.7500
Tl1 Tl 0.3753 0.3753 0.3753
Tl2 Tl 0.3753 0.3753 0.8741
Tl3 Tl 0.3753 0.8741 0.3753
Tl4 Tl 0.8741 0.3753 0.3753
```



(6)
First-principles (GGA-PBE) data for an optimized crystal structure of Y4AlTlZn2, as listed in the Alexandria database.

Properties
Total moment   0.00 μB/cell
Total DFT energy (no corrections)   -37.583 eV per cell
Mass density   6.13 Mg/m³

Geometry as CIF:
```
data_Y4AlTlZn2
_chemical_formula_sum 'Y4 Al1 Tl1 Zn2'
_cell_length_a 8.9655
_cell_length_b 8.9655
_cell_length_c 8.9655
_cell_angle_alpha 33.41
_cell_angle_beta 33.41
_cell_angle_gamma 33.41
_symmetry_space_group_name_H-M 'P 1'
_symmetry_Int_Tables_number 1
_symmetry_space_group_name_Hall 'P 1'
loop_
_atom_site_label
_atom_site_type_symbol
_atom_site_fract_x
_atom_site_fract_y
_atom_site_fract_z
Y1 Y 0.1216 0.1216 0.1216
Y2 Y 0.3720 0.3720 0.3720
Y3 Y 0.6280 0.6280 0.6280
Y4 Y 0.8784 0.8784 0.8784
Al1 Al 0.0000 0.0000 0.0000
Tl1 Tl 0.5000 0.5000 0.5000
Zn1 Zn 0.2517 0.2517 0.2517
Zn2 Zn 0.7483 0.7483 0.7483
```



(7)
First-principles (GGA-PBE) data for an optimized crystal structure of Al2TlZn, as listed in the Alexandria database.

Properties
Total moment   0.00 μB/cell
Total DFT energy (no corrections)   -10.063 eV per cell
Mass density   6.69 Mg/m³
Energy above the lowest structure with this stoichiometry   87 meV per atom

Geometry as CIF:
```
data_Al2TlZn
_chemical_formula_sum 'Al2 Tl1 Zn1'
_cell_length_a 5.5477
_cell_length_b 5.5477
_cell_length_c 5.5477
_cell_angle_alpha 136.33
_cell_angle_beta 136.33
_cell_angle_gamma 63.47
_symmetry_space_group_name_H-M 'P 1'
_symmetry_Int_Tables_number 1
_symmetry_space_group_name_Hall 'P 1'
loop_
_atom_site_label
_atom_site_type_symbol
_atom_site_fract_x
_atom_site_fract_y
_atom_site_fract_z
Al1 Al 0.2500 0.7500 0.5000
Al2 Al 0.7500 0.2500 0.5000
Tl1 Tl 0.0000 0.0000 0.0000
Zn1 Zn 0.5000 0.5000 0.0000
```



(8)
First-principles (GGA-PBE) data for an optimized crystal structure of Al2TlZn, as listed in the Alexandria database.

Properties
Total moment   0.00 μB/cell
Total DFT energy (no corrections)   -19.808 eV per cell
Mass density   6.19 Mg/m³
Energy above the lowest structure with this stoichiometry   126 meV per atom

Geometry as CIF:
```
data_Al2TlZn
_chemical_formula_sum 'Al4 Tl2 Zn2'
_cell_length_a 6.2105
_cell_length_b 6.2105
_cell_length_c 6.2105
_cell_angle_alpha 102.19
_cell_angle_beta 102.19
_cell_angle_gamma 125.29
_symmetry_space_group_name_H-M 'P 1'
_symmetry_Int_Tables_number 1
_symmetry_space_group_name_Hall 'P 1'
loop_
_atom_site_label
_atom_site_type_symbol
_atom_site_fract_x
_atom_site_fract_y
_atom_site_fract_z
Al1 Al 0.0842 0.6250 0.9592
Al2 Al 0.3750 0.3342 0.4592
Al3 Al 0.6658 0.1250 0.0408
Al4 Al 0.8750 0.9158 0.5408
Tl1 Tl 0.2500 0.7500 0.5000
Tl2 Tl 0.5000 0.5000 0.0000
Zn1 Zn 0.0000 0.0000 0.0000
Zn2 Zn 0.7500 0.2500 0.5000
```



(9)
First-principles (GGA-PBE) data for an optimized crystal structure of Al3TlZn, as listed in the Alexandria database.

Properties
Total moment   0.00 μB/cell
Total DFT energy (no corrections)   -9.923 eV per cell
Mass density   3.87 Mg/m³
Energy above the lowest structure with this stoichiometry   545 meV per atom

Geometry as CIF:
```
data_Al3TlZn
_chemical_formula_sum 'Al3 Tl1 Zn1'
_cell_length_a 5.3211
_cell_length_b 5.3211
_cell_length_c 5.3211
_cell_angle_alpha 90.00
_cell_angle_beta 90.00
_cell_angle_gamma 90.00
_symmetry_space_group_name_H-M 'P 1'
_symmetry_Int_Tables_number 1
_symmetry_space_group_name_Hall 'P 1'
loop_
_atom_site_label
_atom_site_type_symbol
_atom_site_fract_x
_atom_site_fract_y
_atom_site_fract_z
Al1 Al 0.0000 0.0000 0.5000
Al2 Al 0.0000 0.5000 0.0000
Al3 Al 0.5000 0.0000 0.0000
Tl1 Tl 0.0000 0.0000 0.0000
Zn1 Zn 0.5000 0.5000 0.5000
```



(10)
First-principles (GGA-PBE) data for an optimized crystal structure of Al2TlZn, as listed in the Alexandria database.

Properties
Total moment   0.00 μB/cell
Total DFT energy (no corrections)   -9.960 eV per cell
Mass density   6.53 Mg/m³
Energy above the lowest structure with this stoichiometry   112 meV per atom

Geometry as CIF:
```
data_Al2TlZn
_chemical_formula_sum 'Al2 Tl1 Zn1'
_cell_length_a 3.1757
_cell_length_b 4.9350
_cell_length_c 5.2532
_cell_angle_alpha 90.00
_cell_angle_beta 90.00
_cell_angle_gamma 90.00
_symmetry_space_group_name_H-M 'P 1'
_symmetry_Int_Tables_number 1
_symmetry_space_group_name_Hall 'P 1'
loop_
_atom_site_label
_atom_site_type_symbol
_atom_site_fract_x
_atom_site_fract_y
_atom_site_fract_z
Al1 Al 0.0000 0.0000 0.0000
Al2 Al 0.5000 0.5000 0.0000
Tl1 Tl 0.0000 0.5000 0.5000
Zn1 Zn 0.5000 0.0000 0.5000
```



(11)
First-principles (GGA-PBE) data for an optimized crystal structure of AlTlZn, as listed in the Alexandria database.

Properties
Total moment   0.00 μB/cell
Total DFT energy (no corrections)   -13.762 eV per cell
Mass density   7.68 Mg/m³

Geometry as CIF:
```
data_AlTlZn
_chemical_formula_sum 'Al2 Tl2 Zn2'
_cell_length_a 5.6198
_cell_length_b 5.6198
_cell_length_c 5.6198
_cell_angle_alpha 119.15
_cell_angle_beta 117.72
_cell_angle_gamma 92.73
_symmetry_space_group_name_H-M 'P 1'
_symmetry_Int_Tables_number 1
_symmetry_space_group_name_Hall 'P 1'
loop_
_atom_site_label
_atom_site_type_symbol
_atom_site_fract_x
_atom_site_fract_y
_atom_site_fract_z
Al1 Al 0.5000 0.0000 0.0000
Al2 Al 0.5000 0.5000 0.5000
Tl1 Tl 0.1254 0.3754 0.7500
Tl2 Tl 0.8746 0.6246 0.2500
Zn1 Zn 0.0000 0.0000 0.0000
Zn2 Zn 0.5000 0.0000 0.5000
```



(12)
First-principles (GGA-PBE) data for an optimized crystal structure of AlTlZn2, as listed in the Alexandria database.

Properties
Total moment   0.00 μB/cell
Total DFT energy (no corrections)   -7.987 eV per cell
Mass density   7.44 Mg/m³
Energy above the lowest structure with this stoichiometry   2 meV per atom

Geometry as CIF:
```
data_AlTlZn2
_chemical_formula_sum 'Al1 Tl1 Zn2'
_cell_length_a 2.9654
_cell_length_b 3.9453
_cell_length_c 6.9071
_cell_angle_alpha 90.00
_cell_angle_beta 90.00
_cell_angle_gamma 90.00
_symmetry_space_group_name_H-M 'P 1'
_symmetry_Int_Tables_number 1
_symmetry_space_group_name_Hall 'P 1'
loop_
_atom_site_label
_atom_site_type_symbol
_atom_site_fract_x
_atom_site_fract_y
_atom_site_fract_z
Al1 Al 0.0000 0.0000 0.0000
Tl1 Tl 0.0000 0.0000 0.5000
Zn1 Zn 0.5000 0.5000 0.1934
Zn2 Zn 0.5000 0.5000 0.8066
```